No. 1
# RuAuBr2

Crystalline RuAuBr2 at its relaxed geometry (PBE, the Alexandria database).

The structure belongs to space group F-43m (No. 216); the cell edges are 6.987, 6.987 and 6.987 Å and the angles 90.00°, 90.00° and 90.00°. Symmetry generates all atoms from Ru at (0.000, 0.000, 0.000), Au at (0.250, 0.250, 0.250), Br at (0.000, 0.000, 0.500) and Br at (0.250, 0.250, 0.750).

The total energy is -47.87 eV for the cell shown. Its crystal system is cubic. The uncorrected formation energy comes out at 3.93 eV per formula unit.

=====

No. 2
# Ru2AuBr

Crystalline Ru2AuBr at its relaxed geometry (PBE, the Alexandria database).

The structure belongs to space group Fm-3m (No. 225); the cell edges are 6.443, 6.443 and 6.443 Å and the angles 90.00°, 90.00° and 90.00°. Symmetry generates all atoms from Ru at (0.250, 0.250, 0.250), Au at (0.000, 0.000, 0.000) and Br at (0.000, 0.000, 0.500).

The total energy is -77.82 eV for the cell shown. Its crystal system is cubic. The uncorrected formation energy comes out at 4.05 eV per formula unit.

=====

No. 3
# RuAuBr2

Crystalline RuAuBr2 at its relaxed geometry (PBE, the Alexandria database).

The structure belongs to space group C2/m (No. 12); the cell edges are 6.668, 8.410 and 3.305 Å and the angles 90.00°, 90.77° and 90.00°. Symmetry generates all atoms from Ru at (0.000, 0.000, 0.000), Au at (0.000, 0.500, 0.000) and Br at (0.250, 0.250, 0.000).

The total energy is -26.04 eV for the cell shown. Its crystal system is monoclinic. The uncorrected formation energy comes out at 2.88 eV per formula unit.

=====

No. 4
# RuAu2Br

Crystalline RuAu2Br at its relaxed geometry (PBE, the Alexandria database).

The structure belongs to space group Fm-3m (No. 225); the cell edges are 6.762, 6.762 and 6.762 Å and the angles 90.00°, 90.00° and 90.00°. Symmetry generates all atoms from Ru at (0.000, 0.000, 0.000), Au at (0.250, 0.250, 0.250) and Br at (0.000, 0.000, 0.500).

The total energy is -55.69 eV for the cell shown. Its crystal system is cubic. The uncorrected formation energy comes out at 3.58 eV per formula unit.

=====

No. 5
# Ru2AuBr

Crystalline Ru2AuBr at its relaxed geometry (PBE, the Alexandria database).

The structure belongs to space group Cmmm (No. 65); the cell edges are 6.112, 7.118 and 2.999 Å and the angles 90.00°, 90.00° and 90.00°. Symmetry generates all atoms from Ru at (0.250, 0.250, 0.000), Au at (0.000, 0.000, 0.500) and Br at (0.000, 0.500, 0.500).

The total energy is -39.53 eV for the cell shown. Its crystal system is orthorhombic. The uncorrected formation energy comes out at 3.74 eV per formula unit.

=====

No. 6
# RuAuBr2

Crystalline RuAuBr2 at its relaxed geometry (PBE, the Alexandria database).

The structure belongs to space group P4/mmm (No. 123); the cell edges are 4.825, 4.825 and 3.352 Å and the angles 90.00°, 90.00° and 90.00°. Symmetry generates all atoms from Ru at (0.000, 0.000, 0.000), Au at (0.500, 0.500, 0.000) and Br at (0.000, 0.500, 0.500).

The total energy is -12.38 eV for the cell shown. Its crystal system is tetragonal. The uncorrected formation energy comes out at 3.52 eV per formula unit.

=====

No. 7
# RuAuBr2

Crystalline RuAuBr2 at its relaxed geometry (PBE, the Alexandria database).

The structure belongs to space group R-3m (No. 166, hexagonal axes); the cell edges are 2.9562, 2.9562 and 36.5925 Å and the angles 90.00°, 90.00° and 120.00°. Symmetry generates all atoms from Ru at (0.0000, 0.0000, 0.0000), Au at (0.0000, 0.0000, 0.5000) and Br at (0.0000, 0.0000, 0.0649).

The total energy is -41.74 eV for the cell shown. Its crystal system is trigonal. The uncorrected formation energy comes out at 1.98 eV per formula unit.

=====

No. 8
# RuAuBr2

Crystalline RuAuBr2 at its relaxed geometry (PBE, the Alexandria database).

The structure belongs to space group Immm (No. 71); the cell edges are 3.127, 4.764 and 13.751 Å and the angles 90.00°, 90.00° and 90.00°. Symmetry generates all atoms from Ru at (0.000, 0.000, 0.000), Au at (0.000, 0.000, 0.500) and Br at (0.000, 0.500, 0.354).

The total energy is -29.83 eV for the cell shown. Its crystal system is orthorhombic. The uncorrected formation energy comes out at 0.98 eV per formula unit.